Version A
Below is a relaxed structure of Y4Er3Tm5, with properties calculated at the PBE-GGA level.

Computed properties:
Total magnetization: 0.00 μB/f.u.
Crystal system: triclinic

POSCAR file:
```
Y4Er3Tm5
1.0
6.822 -0.495 1.716
-5.123 7.526 -6.401
4.141 -4.033 11.296
Er Y Tm
3 4 5
direct
0.419 0.836 0.668 Er
0.000 0.000 0.500 Er
0.581 0.164 0.332 Er
0.169 0.336 0.168 Y
0.084 0.166 0.334 Y
0.831 0.664 0.832 Y
0.916 0.834 0.666 Y
0.667 0.334 0.166 Tm
0.249 0.502 0.001 Tm
0.751 0.498 0.999 Tm
0.333 0.666 0.834 Tm
0.500 0.000 0.500 Tm
```

Version B
Below is a relaxed structure of Y4Er3Tm5, with properties calculated at the PBE-GGA level.

Computed properties:
Total magnetization: 0.64 μB/f.u.
Crystal system: monoclinic

POSCAR file:
```
Y4Er3Tm5
1.0
-1.729 -1.967 5.207
1.310 -8.336 0.548
5.636 3.904 6.608
Tm Y Er
5 4 3
direct
0.372 0.056 0.201 Tm
0.212 0.460 0.116 Tm
0.500 0.500 0.500 Tm
0.788 0.540 0.884 Tm
0.628 0.944 0.799 Tm
0.858 0.222 0.061 Y
0.835 0.952 0.379 Y
0.165 0.048 0.621 Y
0.142 0.778 0.939 Y
0.475 0.314 0.735 Er
0.525 0.686 0.265 Er
0.000 0.500 0.500 Er
```

So which one is most stable? That would be version A, about 0.220 eV/atom below the next structure.